This record from Alexandria via LeMat-Bulk describes KYMn2 at its PBEsol-relaxed geometry. The functional is meta-GGA SCAN.

Results
density: 4.3 g/cm³
energy relative to the lowest polymorph listed for this composition: 59.0 kJ/mol of formula units
DFT total energy: -17.513 eV per atom
DOS at the Fermi energy: 9.3 states/eV per cell

Unit cell a=4.515 b=4.515 c=9.065 alpha=90.00 beta=90.00 gamma=90.00
Space group I-4m2 (No. 119)
Asymmetric unit:
K  0.000  0.000  0.000 [2 per cell]
Y  0.000  0.500  0.750 [2 per cell]
Mn  0.000  0.000  0.500 [2 per cell]
Mn  0.000  0.500  0.250 [2 per cell]